# K4Dy3TlO8 | Alexandria via LeMat-Bulk | PBE | relaxed
data_K4Dy3TlO8
_cell_length_a 6.9622
_cell_length_b 6.9622
_cell_length_c 18.8349
_cell_angle_alpha 90.00
_cell_angle_beta 90.00
_cell_angle_gamma 120.00
_space_group_name_H-M_alt 'R -3 m'
_space_group_IT_number 166
_space_group_name_Hall '-R 3 2"'
loop_
_atom_site_label
_atom_site_fract_x
_atom_site_fract_y
_atom_site_fract_z
K1 0.0000 0.0000 0.0000
K2 0.0000 0.5000 0.0000
Dy1 0.0000 0.5000 0.5000
Tl1 0.0000 0.0000 0.5000
O1 0.0000 0.0000 0.2277
O2 0.0081 0.5040 0.7692
# - D(E_F): 0.00 states/eV per cell
# - Total magnetic moment: 0.000 μB/f.u.
# - E_tot: -292.03 eV per cell
# - Volume: 790.6 Å³/cell